LiCeTmTc | PBE-GGA | relaxed

abc: 6.9443 6.9443 6.9443
angles: 90.00 90.00 90.00
Space group F-43m (No. 216)
Inequivalent atoms, fractional coordinates:
1 Li 0.0000 0.0000 0.0000
2 Ce 0.2500 0.2500 0.2500
3 Tm 0.2500 0.2500 0.7500
4 Tc 0.0000 0.0000 0.5000

Values from the calculation:
ΔE_f = -0.04 eV per atom

LiCeYTc | PBE-GGA | relaxed

abc: 7.0040 7.0040 7.0040
angles: 90.00 90.00 90.00
Space group F-43m (No. 216)
Inequivalent atoms, fractional coordinates:
1 Li 0.0000 0.0000 0.0000
2 Ce 0.2500 0.2500 0.2500
3 Y 0.2500 0.2500 0.7500
4 Tc 0.0000 0.0000 0.5000

Values from the calculation:
ΔE_f = 0.00 eV per atom

LiCeZnTc | PBE-GGA | relaxed

abc: 6.5467 6.5467 6.5467
angles: 90.00 90.00 90.00
Space group F-43m (No. 216)
Inequivalent atoms, fractional coordinates:
1 Li 0.0000 0.0000 0.0000
2 Ce 0.2500 0.2500 0.7500
3 Zn 0.2500 0.2500 0.2500
4 Tc 0.0000 0.0000 0.5000

Values from the calculation:
ΔE_f = 0.06 eV per atom

LiCeZrTc | PBE-GGA | relaxed

abc: 6.8090 6.8090 6.8090
angles: 90.00 90.00 90.00
Space group F-43m (No. 216)
Inequivalent atoms, fractional coordinates:
1 Li 0.0000 0.0000 0.0000
2 Ce 0.2500 0.2500 0.2500
3 Zr 0.2500 0.2500 0.7500
4 Tc 0.0000 0.0000 0.5000

Values from the calculation:
ΔE_f = -0.01 eV per atom

LiCe4Te4 | PBE-GGA | relaxed

abc: 9.1238 9.1238 6.4049
angles: 90.00 90.00 90.00
Space group P4_2/n (No. 86, origin choice 2)
Inequivalent atoms, fractional coordinates:
1 Li 0.2500 0.2500 0.2500
2 Ce 0.0261 0.7494 0.0196
3 Te 0.0149 0.2506 0.4890

Values from the calculation:
Energy relative to the elements, uncorrected = -1.13 eV per atom

LiCe3Te5 | PBE-GGA | relaxed

abc: 9.1481 9.1481 7.2396
angles: 90.00 90.00 120.00
Space group P6_3/mcm (No. 193)
Inequivalent atoms, fractional coordinates:
1 Li 0.0000 0.0000 0.0000
2 Ce 0.0000 0.3962 0.2500
3 Te 0.0000 0.2537 0.7500
4 Te 0.3333 0.6667 0.0000

Values from the calculation:
Energy relative to the elements, uncorrected = -1.27 eV per atom

LiCe2Te | PBE-GGA | relaxed

abc: 3.8214 3.8214 33.8695
angles: 90.00 90.00 120.00
Space group R-3m (No. 166, hexagonal axes)
Inequivalent atoms, fractional coordinates:
1 Li 0.0000 0.0000 0.0000
2 Ce 0.0000 0.0000 0.1019
3 Te 0.0000 0.0000 0.5000

Values from the calculation:
Energy relative to the elements, uncorrected = -0.16 eV per atom

LiCe4Te6 | PBE-GGA | relaxed

abc: 12.4825 12.4825 14.9895
angles: 90.00 90.00 120.00
Space group R-3c (No. 167, hexagonal axes)
Inequivalent atoms, fractional coordinates:
1 Li 0.0000 0.0000 0.0000
2 Ce 0.0000 0.0000 0.2500
3 Ce 0.0000 0.3889 0.2500
4 Te 0.0317 0.2029 0.3884

Values from the calculation:
Energy relative to the elements, uncorrected = -1.28 eV per atom